A relaxed structure of ZrIn2Bi, computed with PBE-GGA.

Summary:
The value obtained for the volume is 437 Å³/cell. Its uncorrected energy is -4.33 eV per atom.

Lattice parameters (Å, degrees): 8.447 8.447 6.120 90.00 90.00 90.00
Sites, in units of the cell vectors:
1 Zr 0.000 0.000 0.000
2 Zr 0.000 0.500 0.250
3 Zr 0.500 0.000 0.750
4 Zr 0.500 0.500 0.500
5 In 0.242 0.250 0.125
6 In 0.250 0.742 0.375
7 In 0.250 0.758 0.875
8 In 0.258 0.250 0.625
9 In 0.742 0.750 0.625
10 In 0.750 0.242 0.875
11 In 0.750 0.258 0.375
12 In 0.758 0.750 0.125
13 Bi 0.000 0.000 0.500
14 Bi 0.000 0.500 0.750
15 Bi 0.500 0.000 0.250
16 Bi 0.500 0.500 0.000

---

A relaxed structure of HgBi3P, computed with PBE-GGA.

Summary:
As for the excess energy over the best structure of this formula in the dataset: 0 meV/atom. The value obtained for the volume is 164 Å³/cell. Its uncorrected energy is -3.01 eV per atom.

Lattice parameters (Å, degrees): 5.471 5.471 5.471 90.00 90.00 90.00
Sites, in units of the cell vectors:
1 Hg 0.000 0.000 0.000
2 Bi 0.000 0.500 0.500
3 Bi 0.500 0.000 0.500
4 Bi 0.500 0.500 0.000
5 P 0.500 0.500 0.500

---

A relaxed structure of RhC3F, computed with PBE-GGA.

Summary:
As for the excess energy over the best structure of this formula in the dataset: 0 meV/atom. The value obtained for the volume is 61 Å³/cell. As for the formation energy from raw total energies: 2.07 eV per atom. Its uncorrected energy is -5.31 eV per atom.

Lattice parameters (Å, degrees): 3.946 3.946 3.946 90.00 90.00 90.00
Sites, in units of the cell vectors:
1 Rh 0.000 0.000 0.000
2 C 0.000 0.000 0.500
3 C 0.000 0.500 0.000
4 C 0.500 0.000 0.000
5 F 0.500 0.500 0.500

---

A relaxed structure of Cu3RuPt, computed with PBE-GGA.

Summary:
As for the excess energy over the best structure of this formula in the dataset: 0 meV/atom. The value obtained for the volume is 99 Å³/cell. Its uncorrected energy is -4.13 eV per atom.

Lattice parameters (Å, degrees): 4.619 4.619 4.619 90.00 90.00 90.00
Sites, in units of the cell vectors:
1 Cu 0.000 0.000 0.500
2 Cu 0.000 0.500 0.000
3 Cu 0.500 0.000 0.000
4 Ru 0.500 0.500 0.500
5 Pt 0.000 0.000 0.000

---

A relaxed structure of Tl2PbCl, computed with PBE-GGA.

Summary:
As for the excess energy over the best structure of this formula in the dataset: 6 meV/atom. The value obtained for the volume is 239 Å³/cell. As for the formation energy from raw total energies: -0.35 eV per atom. Its uncorrected energy is -2.92 eV per atom.

Lattice parameters (Å, degrees): 8.034 8.137 3.652 90.00 90.36 90.00
Sites, in units of the cell vectors:
1 Tl 0.250 0.250 0.000
2 Tl 0.250 0.750 0.000
3 Tl 0.750 0.250 0.000
4 Tl 0.750 0.750 0.000
5 Pb 0.000 0.000 0.500
6 Pb 0.500 0.500 0.500
7 Cl 0.000 0.500 0.500
8 Cl 0.500 0.000 0.500

---

A relaxed structure of Tb12Ag6Os, computed with PBE-GGA.

Summary:
The value obtained for the volume is 526 Å³/cell. Its uncorrected energy is -4.52 eV per atom.

Lattice parameters (Å, degrees): 8.082 8.082 8.082 92.46 92.46 92.46
Sites, in units of the cell vectors:
1 Tb 0.045 0.943 0.698
2 Tb 0.057 0.302 0.955
3 Tb 0.178 0.395 0.525
4 Tb 0.302 0.955 0.057
5 Tb 0.395 0.525 0.178
6 Tb 0.475 0.822 0.605
7 Tb 0.525 0.178 0.395
8 Tb 0.605 0.475 0.822
9 Tb 0.698 0.045 0.943
10 Tb 0.822 0.605 0.475
11 Tb 0.943 0.698 0.045
12 Tb 0.955 0.057 0.302
13 Ag 0.173 0.763 0.370
14 Ag 0.237 0.630 0.827
15 Ag 0.370 0.173 0.763
16 Ag 0.630 0.827 0.237
17 Ag 0.763 0.370 0.173
18 Ag 0.827 0.237 0.630
19 Os 0.500 0.500 0.500

---

A relaxed structure of TbNdSmAl, computed with PBE-GGA.

Summary:
As for the excess energy over the best structure of this formula in the dataset: 121 meV/atom. The value obtained for the volume is 457 Å³/cell. Its uncorrected energy is -4.51 eV per atom.

Lattice parameters (Å, degrees): 7.701 7.701 7.701 90.00 90.00 90.00
Sites, in units of the cell vectors:
1 Tb 0.000 0.000 0.000
2 Tb 0.000 0.500 0.500
3 Tb 0.500 0.000 0.500
4 Tb 0.500 0.500 0.000
5 Nd 0.250 0.250 0.250
6 Nd 0.250 0.750 0.750
7 Nd 0.750 0.250 0.750
8 Nd 0.750 0.750 0.250
9 Sm 0.250 0.250 0.750
10 Sm 0.250 0.750 0.250
11 Sm 0.750 0.250 0.250
12 Sm 0.750 0.750 0.750
13 Al 0.000 0.000 0.500
14 Al 0.000 0.500 0.000
15 Al 0.500 0.000 0.000
16 Al 0.500 0.500 0.500

---

A relaxed structure of Sr4PbI2Br, computed with PBE-GGA.

Summary:
The value obtained for the volume is 317 Å³/cell. As for the formation energy from raw total energies: -1.14 eV per atom. Its uncorrected energy is -3.04 eV per atom.

Lattice parameters (Å, degrees): 8.090 4.921 8.462 90.00 109.80 90.00
Sites, in units of the cell vectors:
1 Sr 0.230 0.000 0.218
2 Sr 0.249 0.500 0.776
3 Sr 0.751 0.500 0.224
4 Sr 0.770 0.000 0.782
5 Pb 0.000 0.500 0.000
6 I 0.000 0.000 0.500
7 I 0.500 0.500 0.500
8 Br 0.500 0.000 0.000

---

A relaxed structure of Pm4NiAg3, computed with PBE-GGA.

Summary:
The value obtained for the volume is 198 Å³/cell. Its uncorrected energy is -4.43 eV per atom.

Lattice parameters (Å, degrees): 3.643 3.643 14.906 90.00 90.00 90.00
Sites, in units of the cell vectors:
1 Pm 0.000 0.000 0.110
2 Pm 0.000 0.000 0.371
3 Pm 0.000 0.000 0.629
4 Pm 0.000 0.000 0.890
5 Ni 0.500 0.500 0.000
6 Ag 0.500 0.500 0.242
7 Ag 0.500 0.500 0.500
8 Ag 0.500 0.500 0.758

---

A relaxed structure of Eu2SeN, computed with PBE-GGA.

Summary:
The value obtained for the volume is 260 Å³/cell. As for the formation energy from raw total energies: -1.36 eV per atom. Its uncorrected energy is -9.45 eV per atom.

Lattice parameters (Å, degrees): 3.859 3.859 20.145 90.00 90.00 120.00
Sites, in units of the cell vectors:
1 Eu 0.000 0.000 0.235
2 Eu 0.000 0.000 0.765
3 Eu 0.333 0.667 0.432
4 Eu 0.333 0.667 0.901
5 Eu 0.667 0.333 0.099
6 Eu 0.667 0.333 0.568
7 Se 0.000 0.000 0.000
8 Se 0.333 0.667 0.667
9 Se 0.667 0.333 0.333
10 N 0.000 0.000 0.500
11 N 0.333 0.667 0.167
12 N 0.667 0.333 0.833

---

A relaxed structure of KRb2Cd4, computed with PBE-GGA.

Summary:
The value obtained for the volume is 535 Å³/cell. Its uncorrected energy is -1.01 eV per atom.

Lattice parameters (Å, degrees): 9.911 9.911 6.789 90.07 90.07 53.37
Sites, in units of the cell vectors:
1 K 0.161 0.839 0.750
2 K 0.839 0.161 0.250
3 Rb 0.068 0.356 0.250
4 Rb 0.356 0.068 0.750
5 Rb 0.644 0.932 0.250
6 Rb 0.932 0.644 0.750
7 Cd 0.137 0.695 0.250
8 Cd 0.305 0.863 0.250
9 Cd 0.409 0.409 0.000
10 Cd 0.409 0.409 0.500
11 Cd 0.591 0.591 0.000
12 Cd 0.591 0.591 0.500
13 Cd 0.695 0.137 0.750
14 Cd 0.863 0.305 0.750

---

A relaxed structure of CuAu3I, computed with PBE-GGA.

Summary:
As for the excess energy over the best structure of this formula in the dataset: 0 meV/atom. The value obtained for the volume is 117 Å³/cell. As for the formation energy from raw total energies: 0.57 eV per atom. Its uncorrected energy is -2.53 eV per atom.

Lattice parameters (Å, degrees): 4.896 4.896 4.896 90.00 90.00 90.00
Sites, in units of the cell vectors:
1 Cu 0.000 0.000 0.000
2 Au 0.000 0.000 0.500
3 Au 0.000 0.500 0.000
4 Au 0.500 0.000 0.000
5 I 0.500 0.500 0.500